(1)
DFT (PBE) results for a relaxed structure of LaBeMo2.

Geometry as CIF:
```
data_LaBeMo2
_cell_length_a 2.800
_cell_length_b 2.800
_cell_length_c 8.813
_cell_angle_alpha 90.00
_cell_angle_beta 90.00
_cell_angle_gamma 90.00
_symmetry_space_group_name_H-M 'P 4/m m m'
_symmetry_Int_Tables_number 123
_symmetry_space_group_name_Hall '-P 4 2'
loop_
_atom_site_label
_atom_site_fract_x
_atom_site_fract_y
_atom_site_fract_z
La1 0.000 0.000 0.000
Be1 0.000 0.000 0.500
Mo1 0.500 0.500 0.322
```

Output
Volume = 17.28 Å³/atom
Calculated formation energy = 0.486 eV per atom

---

(2)
DFT (PBE) results for a relaxed structure of LaBeMo2.

Geometry as CIF:
```
data_LaBeMo2
_cell_length_a 3.432
_cell_length_b 5.008
_cell_length_c 8.823
_cell_angle_alpha 90.00
_cell_angle_beta 90.00
_cell_angle_gamma 90.00
_symmetry_space_group_name_H-M 'I m m 2'
_symmetry_Int_Tables_number 44
loop_
_symmetry_equiv_pos_as_xyz
'x,y,z'
'-x,-y,z'
'-x,y,z'
'x,-y,z'
'x+1/2,y+1/2,z+1/2'
'-x+1/2,-y+1/2,z+1/2'
'-x+1/2,y+1/2,z+1/2'
'x+1/2,-y+1/2,z+1/2'
loop_
_atom_site_label
_atom_site_fract_x
_atom_site_fract_y
_atom_site_fract_z
La1 0.000 0.000 0.000
Be1 0.000 0.500 0.788
Mo1 0.000 0.000 0.517
Mo2 0.000 0.500 0.228
```

Output
Volume = 18.95 Å³/atom
Calculated formation energy = 0.671 eV per atom

---

(3)
DFT (PBE) results for a relaxed structure of LaBeMo2.

Geometry as CIF:
```
data_LaBeMo2
_cell_length_a 4.052
_cell_length_b 4.052
_cell_length_c 8.750
_cell_angle_alpha 90.00
_cell_angle_beta 90.00
_cell_angle_gamma 90.00
_symmetry_space_group_name_H-M 'I 4/m m m'
_symmetry_Int_Tables_number 139
_symmetry_space_group_name_Hall '-I 4 2'
loop_
_atom_site_label
_atom_site_fract_x
_atom_site_fract_y
_atom_site_fract_z
La1 0.000 0.000 0.000
Be1 0.000 0.000 0.500
Mo1 0.000 0.500 0.250
```

Output
Volume = 17.96 Å³/atom
Calculated formation energy = 0.785 eV per atom

---

(4)
DFT (PBE) results for a relaxed structure of La2BeMo.

Geometry as CIF:
```
data_La2BeMo
_cell_length_a 3.651
_cell_length_b 3.660
_cell_length_c 7.110
_cell_angle_alpha 90.00
_cell_angle_beta 91.83
_cell_angle_gamma 90.00
_symmetry_space_group_name_H-M 'P 1 2/m 1'
_symmetry_Int_Tables_number 10
loop_
_symmetry_equiv_pos_as_xyz
'x,y,z'
'-x,-y,-z'
'-x,y,-z'
'x,-y,z'
loop_
_atom_site_label
_atom_site_fract_x
_atom_site_fract_y
_atom_site_fract_z
La1 0.014 0.000 0.249
Be1 0.500 0.500 0.000
Mo1 0.500 0.500 0.500
```

Output
Volume = 23.74 Å³/atom
Calculated formation energy = 0.506 eV per atom

---

| no. | calculated total energy (eV per atom) |
| --- | --- |
| 1 | -7.093 |
| 2 | -6.908 |
| 3 | -6.794 |
| 4 | -5.597 |